Compound: BAs2PBr
Source: the Alexandria database
Functional: GGA-PBEsol
Structure: optimized geometry

Cell lengths 4.7131, 4.7131, 5.0136 Å; angles 90.00, 90.00, 90.00 degrees
Fractional coordinates of all 5 atoms:
B 0.0000 0.0000 0.0000
As 0.0000 0.5000 0.5000
As 0.5000 0.0000 0.5000
P 0.5000 0.5000 0.5000
Br 0.5000 0.5000 0.0000

ΔE_f (raw): 1.470 eV per atom
Fermi-level density of states: 4.1 states/eV per cell
energy: -17.539 eV/cell
energy above the most stable polymorph in this dataset: 247 kJ/mol of formula units

Compound: BAsPbBr2
Source: the Alexandria database
Functional: GGA-PBEsol
Structure: optimized geometry

Cell lengths 4.8047, 4.8047, 4.5468 Å; angles 90.00, 90.00, 90.00 degrees
Fractional coordinates of all 5 atoms:
B 0.0000 0.0000 0.0000
As 0.0000 0.0000 0.5000
Pb 0.5000 0.5000 0.5000
Br 0.0000 0.5000 0.0000
Br 0.5000 0.0000 0.0000

ΔE_f (raw): 0.414 eV per atom
Fermi-level density of states: 2.9 states/eV per cell
energy: -17.790 eV/cell

Compound: BAs2PtBr
Source: the Alexandria database
Functional: GGA-PBEsol
Structure: optimized geometry

Cell lengths 4.7652, 4.7652, 5.3071 Å; angles 90.00, 90.00, 90.00 degrees
Fractional coordinates of all 5 atoms:
B 0.0000 0.0000 0.0000
As 0.0000 0.5000 0.5000
As 0.5000 0.0000 0.5000
Pt 0.5000 0.5000 0.5000
Br 0.5000 0.5000 0.0000

ΔE_f (raw): 1.369 eV per atom
Fermi-level density of states: 4.0 states/eV per cell
energy: -19.216 eV/cell

Compound: BSbAsBr2
Source: the Alexandria database
Functional: GGA-PBEsol
Structure: optimized geometry

Cell lengths 4.4915, 4.4915, 4.8653 Å; angles 90.00, 90.00, 90.00 degrees
Fractional coordinates of all 5 atoms:
B 0.0000 0.0000 0.0000
Sb 0.5000 0.5000 0.5000
As 0.0000 0.0000 0.5000
Br 0.0000 0.5000 0.0000
Br 0.5000 0.0000 0.0000

ΔE_f (raw): 0.577 eV per atom
Fermi-level density of states: 2.3 states/eV per cell
energy: -17.537 eV/cell

- Which formula does entry 3 have?
  BAs2PtBr

- Look up the Fermi-level density of states of the second one.
  2.9 states/eV per cell

- Which formula does entry 1 have?
  BAs2PBr